Computed, not measured: a relaxed structure of ZrBe3 at the GGA-PBE level of DFT.

Cell lengths 5.0830, 5.0830, 5.0830 Å; angles 90.00, 90.00, 90.00 degrees
Space group Pm-3m (No. 221)
Asymmetric unit:
Zr (0.0000, 0.0000, 0.0000)
Be (0.0000, 0.0000, 0.5000)

Calculated total energy ... -10.33 eV per cell
DFT formation energy ... 2.350 eV per atom

=====

Computed, not measured: a relaxed structure of Zr2InPt at the GGA-PBE level of DFT.

Cell lengths 3.4341, 3.4341, 7.0600 Å; angles 90.00, 90.00, 90.00 degrees
Space group P4mm (No. 99)
Asymmetric unit:
Zr (0.0000, 0.0000, 0.0000)
Zr (0.5000, 0.5000, 0.2874)
In (0.0000, 0.0000, 0.5572)
Pt (0.5000, 0.5000, 0.7893)

Calculated total energy ... -28.00 eV per cell
DFT formation energy ... -0.530 eV per atom